Compound: LiLaYSi
Source: Alexandria via LeMat-Bulk
Functional: PBE-GGA
Structure: optimized geometry

CIF file:
```
data_LiLaYSi
_chemical_formula_sum 'Li4 La4 Y4 Si4'
_cell_length_a 7.248
_cell_length_b 7.248
_cell_length_c 7.248
_cell_angle_alpha 90.00
_cell_angle_beta 90.00
_cell_angle_gamma 90.00
_space_group_name_H-M_alt 'F -4 3 m'
_space_group_IT_number 216
_space_group_name_Hall 'F -4 2 3'
loop_
_atom_site_label
_atom_site_type_symbol
_atom_site_fract_x
_atom_site_fract_y
_atom_site_fract_z
Li1 Li 0.000 0.000 0.000
La1 La 0.250 0.250 0.250
Y1 Y 0.250 0.250 0.750
Si1 Si 0.000 0.000 0.500
```

E: -80.63 eV per cell
energy relative to the elements, uncorrected: -34.5 kJ/mol of atoms

---

Compound: LiLa2Zn3Si4
Source: Alexandria via LeMat-Bulk
Functional: PBE-GGA
Structure: optimized geometry

CIF file:
```
data_LiLa2Zn3Si4
_chemical_formula_sum 'Li1 La2 Zn3 Si4'
_cell_length_a 4.303
_cell_length_b 4.303
_cell_length_c 10.262
_cell_angle_alpha 90.00
_cell_angle_beta 90.00
_cell_angle_gamma 90.00
_space_group_name_H-M_alt 'P -4 m 2'
_space_group_IT_number 115
_space_group_name_Hall 'P -4 -2'
loop_
_atom_site_label
_atom_site_type_symbol
_atom_site_fract_x
_atom_site_fract_y
_atom_site_fract_z
Li1 Li 0.000 0.000 0.000
La1 La 0.000 0.500 0.745
Zn1 Zn 0.000 0.500 0.372
Zn2 Zn 0.500 0.500 0.000
Si1 Si 0.000 0.000 0.500
Si2 Si 0.000 0.500 0.137
Si3 Si 0.500 0.500 0.500
```

E: -41.70 eV per cell
energy relative to the elements, uncorrected: -42.7 kJ/mol of atoms

---

Compound: Li2LaZn2Si2
Source: Alexandria via LeMat-Bulk
Functional: PBE-GGA
Structure: optimized geometry

CIF file:
```
data_Li2LaZn2Si2
_chemical_formula_sum 'Li6 La3 Zn6 Si6'
_cell_length_a 4.2291
_cell_length_b 4.2291
_cell_length_c 24.4343
_cell_angle_alpha 90.00
_cell_angle_beta 90.00
_cell_angle_gamma 120.00
_space_group_name_H-M_alt 'R -3 m'
_space_group_IT_number 166
_space_group_name_Hall '-R 3 2"'
loop_
_atom_site_label
_atom_site_type_symbol
_atom_site_fract_x
_atom_site_fract_y
_atom_site_fract_z
Li1 Li 0.0000 0.0000 0.1425
La1 La 0.0000 0.0000 0.0000
Zn1 Zn 0.0000 0.0000 0.4305
Si1 Si 0.0000 0.0000 0.2519
```

E: -76.38 eV per cell
energy relative to the elements, uncorrected: -45.6 kJ/mol of atoms